# HoIn2Hg6Pb

Crystalline HoIn2Hg6Pb at its relaxed geometry (PBE, Alexandria).

Computed properties:
- ρ: 11.23 g cm⁻³
- Energy relative to the elements: -59 meV/atom

```
data_HoIn2Hg6Pb
_chemical_formula_sum 'Ho2 In4 Hg12 Pb2'
_cell_length_a 10.0747
_cell_length_b 10.0747
_cell_length_c 5.8782
_cell_angle_alpha 94.66
_cell_angle_beta 94.66
_cell_angle_gamma 115.14
_symmetry_space_group_name_H-M 'P 1'
_symmetry_Int_Tables_number 1
loop_
_symmetry_equiv_pos_as_xyz
'x,y,z'
loop_
_atom_site_label
_atom_site_type_symbol
_atom_site_fract_x
_atom_site_fract_y
_atom_site_fract_z
Ho1 Ho 0.1041 0.8959 0.7500
Ho2 Ho 0.8959 0.1041 0.2500
In1 In 0.0818 0.2199 0.8094
In2 In 0.2199 0.0818 0.3094
In3 In 0.7801 0.9182 0.6906
In4 In 0.9182 0.7801 0.1906
Hg1 Hg 0.0862 0.5725 0.7485
Hg2 Hg 0.1959 0.3820 0.3800
Hg3 Hg 0.3488 0.5142 0.9640
Hg4 Hg 0.3820 0.1959 0.8800
Hg5 Hg 0.4275 0.9138 0.7515
Hg6 Hg 0.4858 0.6512 0.5360
Hg7 Hg 0.5142 0.3488 0.4640
Hg8 Hg 0.5725 0.0862 0.2485
Hg9 Hg 0.6180 0.8041 0.1200
Hg10 Hg 0.6512 0.4858 0.0360
Hg11 Hg 0.8041 0.6180 0.6200
Hg12 Hg 0.9138 0.4275 0.2515
Pb1 Pb 0.2385 0.7615 0.2500
Pb2 Pb 0.7615 0.2385 0.7500
```

***

# K3SnSe3

Crystalline K3SnSe3 at its relaxed geometry (PBE, Alexandria).

Computed properties:
- ρ: 3.04 g cm⁻³
- E_form (uncorrected): -88 kJ per mole of atoms

```
data_K3SnSe3
_chemical_formula_sum 'K6 Sn2 Se6'
_cell_length_a 8.3882
_cell_length_b 8.3882
_cell_length_c 8.1551
_cell_angle_alpha 94.59
_cell_angle_beta 94.59
_cell_angle_gamma 114.54
_symmetry_space_group_name_H-M 'P 1'
_symmetry_Int_Tables_number 1
loop_
_symmetry_equiv_pos_as_xyz
'x,y,z'
loop_
_atom_site_label
_atom_site_type_symbol
_atom_site_fract_x
_atom_site_fract_y
_atom_site_fract_z
K1 K 0.1775 0.8225 0.0000
K2 K 0.2355 0.7645 0.5000
K3 K 0.3828 0.3828 0.1346
K4 K 0.6172 0.6172 0.8654
K5 K 0.7645 0.2355 0.5000
K6 K 0.8225 0.1775 0.0000
Sn1 Sn 0.1919 0.1919 0.6330
Sn2 Sn 0.8081 0.8081 0.3670
Se1 Se 0.0783 0.0783 0.2710
Se2 Se 0.1682 0.4702 0.7800
Se3 Se 0.4702 0.1682 0.7800
Se4 Se 0.5298 0.8318 0.2200
Se5 Se 0.8318 0.5298 0.2200
Se6 Se 0.9217 0.9217 0.7290
```

***

# TmLuRh

Crystalline TmLuRh at its relaxed geometry (PBE, Alexandria).

Computed properties:
- ρ: 10.49 g cm⁻³
- Energy relative to the elements: -633 meV/atom

```
data_TmLuRh
_chemical_formula_sum 'Tm2 Lu2 Rh2'
_cell_length_a 3.3812
_cell_length_b 3.3812
_cell_length_c 12.3769
_cell_angle_alpha 90.00
_cell_angle_beta 90.00
_cell_angle_gamma 90.00
_symmetry_space_group_name_H-M 'P 1'
_symmetry_Int_Tables_number 1
loop_
_symmetry_equiv_pos_as_xyz
'x,y,z'
loop_
_atom_site_label
_atom_site_type_symbol
_atom_site_fract_x
_atom_site_fract_y
_atom_site_fract_z
Tm1 Tm 0.0000 0.0000 0.0000
Tm2 Tm 0.5000 0.5000 0.5000
Lu1 Lu 0.0000 0.0000 0.2654
Lu2 Lu 0.5000 0.5000 0.7654
Rh1 Rh 0.0000 0.0000 0.6344
Rh2 Rh 0.5000 0.5000 0.1344
```

***

# Nd4Sm3Cd4

Crystalline Nd4Sm3Cd4 at its relaxed geometry (PBE, Alexandria).

Computed properties:
- ρ: 7.20 g cm⁻³
- Energy relative to the elements: -88 meV/atom

```
data_Nd4Sm3Cd4
_chemical_formula_sum 'Nd4 Sm3 Cd4'
_cell_length_a 10.0122
_cell_length_b 10.0122
_cell_length_c 10.0122
_cell_angle_alpha 148.71
_cell_angle_beta 138.92
_cell_angle_gamma 52.53
_symmetry_space_group_name_H-M 'P 1'
_symmetry_Int_Tables_number 1
loop_
_symmetry_equiv_pos_as_xyz
'x,y,z'
loop_
_atom_site_label
_atom_site_type_symbol
_atom_site_fract_x
_atom_site_fract_y
_atom_site_fract_z
Nd1 Nd 0.0561 0.8191 0.2370
Nd2 Nd 0.4179 0.1809 0.2370
Nd3 Nd 0.5821 0.8191 0.7630
Nd4 Nd 0.9439 0.1809 0.7630
Sm1 Sm 0.0000 0.5000 0.5000
Sm2 Sm 0.4022 0.4022 0.0000
Sm3 Sm 0.5978 0.5978 0.0000
Cd1 Cd 0.1704 0.6704 0.5000
Cd2 Cd 0.2913 0.0000 0.2913
Cd3 Cd 0.7087 0.0000 0.7087
Cd4 Cd 0.8296 0.3296 0.5000
```

***

The records above give, respectively, N(E_F) values of 5.0, 2.9, 3.2, 13.1 states/eV/f.u..